The following is a DFT calculation (GGA-PBE) of crystalline CaMn2Br at its relaxed geometry.

Values from the calculation:
- energy above the most stable polymorph in this dataset (meV per atom) = 418
- uncorrected formation energy (kJ per mole of atoms) = 44.0
- E (eV/cell) = -20.19
- space group = F-43m, No. 216

Cell lengths 5.102, 5.102, 5.102 Å; angles 60.00, 60.00, 60.00 degrees
Element x y z (fractional)
Ca: 0.750 0.750 0.750
Mn: 0.000 0.000 0.000
Mn: 0.250 0.250 0.250
Br: 0.500 0.500 0.500



The following is a DFT calculation (GGA-PBE) of crystalline CaMnBr4 at its relaxed geometry.

Values from the calculation:
- energy above the most stable polymorph in this dataset (meV per atom) = 0
- uncorrected formation energy (kJ per mole of atoms) = -135.0
- E (eV/cell) = -26.26
- space group = P2/m, No. 10

Cell lengths 4.067, 7.541, 7.074 Å; angles 103.32, 90.00, 90.00 degrees
Element x y z (fractional)
Ca: 0.500 0.000 0.500
Br: 0.500 0.794 0.098
Br: 0.500 0.206 0.902
Br: 0.000 0.786 0.635
Br: 0.000 0.214 0.365
Mn: 0.000 0.000 0.000



The following is a DFT calculation (GGA-PBE) of crystalline CaMnBr2 at its relaxed geometry.

Values from the calculation:
- energy above the most stable polymorph in this dataset (meV per atom) = 269
- uncorrected formation energy (kJ per mole of atoms) = -46.2
- E (eV/cell) = -32.86
- space group = I-42d, No. 122

Cell lengths 6.175, 6.175, 7.877 Å; angles 66.92, 66.92, 90.00 degrees
Element x y z (fractional)
Mn: 0.750 0.250 0.500
Mn: 0.000 0.000 0.000
Br: 0.375 0.328 0.750
Br: 0.672 0.125 0.250
Br: 0.078 0.625 0.250
Br: 0.875 0.922 0.750
Ca: 0.250 0.750 0.500
Ca: 0.500 0.500 0.000



The following is a DFT calculation (GGA-PBE) of crystalline CaMn2Br at its relaxed geometry.

Values from the calculation:
- energy above the most stable polymorph in this dataset (meV per atom) = 401
- uncorrected formation energy (kJ per mole of atoms) = 42.4
- E (eV/cell) = -20.26
- space group = P2/m, No. 10

Cell lengths 5.643, 3.307, 4.742 Å; angles 92.22, 90.00, 90.00 degrees
Element x y z (fractional)
Ca: 0.500 0.750 0.750
Mn: 0.000 0.022 0.891
Mn: 0.000 0.478 0.609
Br: 0.500 0.250 0.250



The following is a DFT calculation (GGA-PBE) of crystalline Ca2MnBr at its relaxed geometry.

Values from the calculation:
- energy above the most stable polymorph in this dataset (meV per atom) = 641
- uncorrected formation energy (kJ per mole of atoms) = 25.6
- E (eV/cell) = -13.78
- space group = F-43m, No. 216

Cell lengths 5.544, 5.544, 5.544 Å; angles 60.00, 60.00, 60.00 degrees
Element x y z (fractional)
Ca: 0.000 0.000 0.000
Ca: 0.250 0.250 0.250
Mn: 0.750 0.750 0.750
Br: 0.500 0.500 0.500



The following is a DFT calculation (GGA-PBE) of crystalline CaMn2Br at its relaxed geometry.

Values from the calculation:
- energy above the most stable polymorph in this dataset (meV per atom) = 328
- uncorrected formation energy (kJ per mole of atoms) = 35.4
- E (eV/cell) = -20.55
- space group = Pmmm, No. 47

Cell lengths 3.708, 4.648, 5.652 Å; angles 90.00, 90.00, 90.00 degrees
Element x y z (fractional)
Mn: 0.000 0.000 0.517
Mn: 0.000 0.000 0.983
Ca: 0.500 0.500 0.750
Br: 0.500 0.500 0.250